# Rb2SrPuCl6

A geometry-optimized Rb2SrPuCl6 structure (PBE, Alexandria).

Lattice parameters (Å, degrees): 7.7075 8.0300 13.4636 90.00 124.80 90.00
Last column: nearest neighbours and their distance in Å.
Space group P2_1/c (No. 14)
One atom of each set of equivalent atoms:
Rb1 0.2300 0.0619 0.2497 [4 per cell]  6 Cl 3.33-3.60
Sr1 0.5000 0.0000 0.0000 [2 per cell]  6 Cl 2.90-2.91
Pu1 0.0000 0.0000 0.5000 [2 per cell]  6 Cl 2.86-2.87
Cl1 0.1466 0.2059 0.9478 [4 per cell]  1 Pu 2.87, 1 Sr 2.91
Cl2 0.2443 0.7030 0.9473 [4 per cell]  1 Pu 2.87, 1 Sr 2.91
Cl3 0.3479 0.0345 0.7481 [4 per cell]  1 Pu 2.86, 1 Sr 2.90

Values from the calculation:
crystal system = monoclinic
formation energy from raw total energies = -2.04 eV per atom
DOS at the Fermi energy = 19.05 states/eV/f.u.